FeBiF2: optimized geometry, PBE+U.

a b c (Å): 3.2521 3.2521 27.5208
angles (deg): 90.00 90.00 120.00
Last column: nearest neighbours and their distance in Å.
Space group R-3m (No. 166, hexagonal axes)
One atom of each set of equivalent atoms:
Fe 0.0000 0.0000 0.0000 [3 per cell]  6 F 2.13
Bi 0.0000 0.0000 0.5000 [3 per cell]  6 Bi 3.25, 2 F 3.59
F 0.0000 0.0000 0.3697 [6 per cell]  3 Fe 2.13

Properties
V in Å³/f.u.: 84.0
Energy above the lowest structure with this stoichiometry in meV per atom: 0